K3NaCa | PBE | optimized geometry

```
data_K3NaCa
_symmetry_space_group_name_H-M 'P m -3 m'
_symmetry_Int_Tables_number 221
_symmetry_space_group_name_Hall '-P 4 2 3'
_cell_length_a 7.5167
_cell_length_b 7.5167
_cell_length_c 7.5167
_cell_angle_alpha 90.00
_cell_angle_beta 90.00
_cell_angle_gamma 90.00
loop_
_atom_site_label
_atom_site_fract_x
_atom_site_fract_y
_atom_site_fract_z
K1 0.0000 0.0000 0.5000
Na1 0.5000 0.5000 0.5000
Ca1 0.0000 0.0000 0.0000
```

Results
* energy relative to the lowest polymorph listed for this composition: 143 meV/atom
* formation energy: 0.43 eV/atom